(1)
BaY2Cr (PBE, optimized geometry); calculated formation energy = 48.7 kJ/mol of atoms
1.0
-1.1877 -2.7787 4.4226
0.2714 -3.2011 -1.9384
6.8925 -1.9770 0.6089
Cr Y Ba
1 2 1
direct
0.5000 0.9091 0.8024
0.5000 0.2296 0.1672
0.0000 0.8149 0.9985
0.0000 0.5464 0.5320



(2)
BaY2Cr (PBE, optimized geometry); calculated formation energy = 61.0 kJ/mol of atoms
1.0
-0.6078 -6.8827 0.4703
2.4531 3.6284 5.3646
-2.5151 -0.4085 2.4503
Y Cr Ba
2 1 1
direct
0.5000 0.5000 0.0000
0.0000 0.0000 0.0000
0.0000 0.5000 0.5000
0.5000 0.0000 0.5000



(3)
BaYCr2 (PBE, optimized geometry); calculated formation energy = 47.2 kJ/mol of atoms
1.0
8.4141 -0.2555 -0.1525
7.4881 3.8460 -0.1525
7.4881 1.6907 3.4578
Cr Ba Y
2 1 1
direct
0.9511 0.9511 0.9511
0.2841 0.2841 0.2841
0.7248 0.7248 0.7248
0.5400 0.5400 0.5400



(4)
BaY2Cr (PBE, optimized geometry); calculated formation energy = 40.3 kJ/mol of atoms
1.0
-2.1530 -4.8974 -4.3036
4.4680 -4.8124 -2.0049
-3.3823 3.0267 5.1518
Ba Y Cr
1 2 1
direct
0.7500 0.2500 0.5000
0.0435 0.0435 0.0000
0.4565 0.4565 0.0000
0.2500 0.7500 0.5000



(5)
BaY2Cr (PBE, optimized geometry); calculated formation energy = 45.1 kJ/mol of atoms
1.0
-2.7974 4.3667 4.4505
-6.7919 0.3892 0.6471
5.5989 -3.8994 0.3836
Y Cr Ba
2 1 1
direct
0.0475 0.0475 0.0000
0.7535 0.2535 0.5000
0.2367 0.7367 0.5000
0.4623 0.4623 0.0000



(6)
BaYCr2 (PBE, optimized geometry); calculated formation energy = 89.7 kJ/mol of atoms
1.0
5.3664 0.0000 0.0000
2.6832 4.6474 0.0000
2.6832 1.5491 4.3816
Ba Cr Y
1 2 1
direct
0.5000 0.5000 0.5000
0.0000 0.0000 0.0000
0.2500 0.2500 0.2500
0.7500 0.7500 0.7500



(7)
BaYCr2 (PBE, optimized geometry); calculated formation energy = 88.0 kJ/mol of atoms
1.0
-3.0119 3.2500 4.4454
-4.2289 -3.0680 3.4785
5.9438 -0.8662 -1.8210
Cr Ba Y
2 1 1
direct
0.0000 0.0000 0.0000
0.2500 0.7500 0.5000
0.7500 0.2500 0.5000
0.5000 0.5000 0.0000



(8)
BaY2Cr (PBE, optimized geometry); calculated formation energy = 60.2 kJ/mol of atoms
1.0
5.7809 0.1957 0.0000
-1.4646 5.5957 0.0000
0.0000 0.0000 3.8674
Y Ba Cr
2 1 1
direct
0.0000 0.0000 0.0000
0.5000 0.5000 0.0000
0.5000 0.0000 0.5000
0.0000 0.5000 0.5000



(9)
BaYCr2 (PBE, optimized geometry); calculated formation energy = 79.3 kJ/mol of atoms
1.0
6.1565 0.0088 -0.0406
5.1718 3.3399 -0.0406
1.5951 0.4715 5.4192
Cr Ba Y
2 1 1
direct
0.7249 0.7249 0.7231
0.0325 0.0325 0.0071
0.2712 0.2712 0.2000
0.4715 0.4715 0.5698



(10)
BaYCr2 (PBE, optimized geometry); calculated formation energy = 99.9 kJ/mol of atoms
1.0
8.4382 0.0000 0.0000
0.0000 8.4382 0.0000
4.2191 4.2191 3.2919
Y Cr Ba
2 4 2
direct
0.2500 0.7500 0.5000
0.5000 0.5000 0.0000
0.6077 0.1250 0.2500
0.3750 0.3923 0.7500
0.8750 0.8577 0.7500
0.1423 0.6250 0.2500
0.0000 0.0000 0.0000
0.7500 0.2500 0.5000



(11)
BaYCr2 (PBE, optimized geometry); calculated formation energy = 86.0 kJ/mol of atoms
1.0
-1.3163 4.3035 2.4888
0.2048 2.0747 4.7011
6.3034 3.5815 -0.7256
Cr Y Ba
2 1 1
direct
0.4946 0.4946 0.5804
0.0054 0.0054 0.9196
0.7500 0.7500 0.7500
0.2500 0.2500 0.2500



(12)
BaY2Cr (PBE, optimized geometry); calculated formation energy = 57.5 kJ/mol of atoms
1.0
5.8304 -0.4894 0.0000
1.3970 5.6817 0.0000
-3.6137 -2.5961 3.7992
Y Ba Cr
2 1 1
direct
0.0000 0.0000 0.0000
0.2500 0.7500 0.5000
0.5000 0.5000 0.0000
0.7500 0.2500 0.5000



(13)
BaY2Cr (PBE, optimized geometry); calculated formation energy = 85.5 kJ/mol of atoms
1.0
1.7279 -0.2508 5.1210
2.6865 4.1722 2.1560
-2.3459 3.0554 3.7993
Cr Ba Y
1 1 2
direct
0.0000 0.0000 0.0000
0.5000 0.5000 0.5000
0.2500 0.2500 0.2500
0.7500 0.7500 0.7500



(14)
BaZnCr2 (PBE, optimized geometry); calculated formation energy = 78.9 kJ/mol of atoms
1.0
6.0921 -0.2586 -0.1802
2.7259 5.4543 0.1803
-3.5709 -4.0201 2.8809
Ba Cr Zn
1 2 1
direct
0.2500 0.7500 0.5000
0.9518 0.9518 0.0000
0.5482 0.5482 0.0000
0.7500 0.2500 0.5000



(15)
BaZnCr2 (PBE, optimized geometry); calculated formation energy = 66.3 kJ/mol of atoms
1.0
4.7955 -0.0315 0.0050
3.6476 3.1133 0.0050
1.3138 0.4795 5.9451
Cr Ba Zn
2 1 1
direct
0.4721 0.4721 0.6549
0.0279 0.0279 0.8451
0.2500 0.2500 0.2500
0.7500 0.7500 0.7500



(16)
BaZn2Cr (PBE, optimized geometry); calculated formation energy = 28.7 kJ/mol of atoms
1.0
-2.0597 4.6274 -0.2843
-2.7063 -0.9475 4.1850
4.3864 5.1683 7.0815
Cr Zn Ba
2 4 2
direct
0.5000 0.5000 0.0000
0.2500 0.7500 0.5000
0.3749 0.6250 0.2500
0.3750 0.6249 0.7500
0.3751 0.1250 0.2500
0.8750 0.6251 0.7500
0.7500 0.2500 0.5000
0.0000 0.0000 0.0000



(17)
BaZn2Cr (PBE, optimized geometry); calculated formation energy = 26.5 kJ/mol of atoms
1.0
-0.5664 -4.1713 0.0084
2.7199 -0.3650 2.1124
-2.7443 0.3856 6.4529
Ba Zn Cr
1 2 1
direct
0.0000 0.4479 0.4767
0.5000 0.0968 0.1811
0.0000 0.2068 0.9630
0.5000 0.7485 0.8791



(18)
BaZnCr2 (PBE, optimized geometry); calculated formation energy = 62.8 kJ/mol of atoms
1.0
-2.2364 4.8126 -0.7656
-0.5649 0.8177 5.2689
4.4417 -0.7842 -2.8992
Cr Ba Zn
2 1 1
direct
0.7647 0.2647 0.5000
0.9251 0.9251 0.0000
0.2462 0.7462 0.5000
0.5640 0.5640 0.0000



(19)
Ba3ZnCr (PBE, optimized geometry); calculated formation energy = 49.7 kJ/mol of atoms
1.0
6.3645 0.0000 0.0000
0.0000 6.3645 0.0000
0.0000 0.0000 6.3645
Ba Cr Zn
3 1 1
direct
0.0000 0.0000 0.5000
0.5000 0.0000 0.0000
0.0000 0.5000 0.0000
0.5000 0.5000 0.5000
0.0000 0.0000 0.0000



(20)
BaZnCr2 (PBE, optimized geometry); calculated formation energy = 73.1 kJ/mol of atoms
1.0
3.3835 0.0000 0.0000
0.0000 3.3835 0.0000
0.0000 0.0000 7.9826
Cr Zn Ba
2 1 1
direct
0.0000 0.0000 0.0757
0.0000 0.0000 0.4243
0.5000 0.5000 0.2500
0.5000 0.5000 0.7500